[1]
Below is a relaxed Na2SnGe2 crystal, with properties calculated at the GGA-PBE level.

a b c (Å): 8.0792 8.0792 3.5658
angles (deg): 90.00 90.00 90.00
With the nearest neighbours (Å) after each atom.
Positions (direct):
Ge: 0.1100 0.3900 0.0000  1 Ge 2.51
Ge: 0.8900 0.6100 0.0000  1 Ge 2.51
Ge: 0.3900 0.8900 0.0000  1 Ge 2.51
Ge: 0.6100 0.1100 0.0000  1 Ge 2.51
Na: 0.1865 0.6865 0.5000  6 Ge 2.93-3.05
Na: 0.6865 0.8135 0.5000  6 Ge 2.93-3.05
Na: 0.3135 0.1865 0.5000  6 Ge 2.93-3.05
Na: 0.8135 0.3135 0.5000  6 Ge 2.93-3.05
Sn: 0.5000 0.5000 0.0000  4 Ge 3.27, 8 Na 3.44, 2 Sn 3.57
Sn: 0.0000 0.0000 0.0000  4 Ge 3.27, 8 Na 3.44, 2 Sn 3.57

Output
E above lowest polymorph, meV/atom: 91
Energy of formation from the pure elements, eV/atom: 0.013
SG: P4/mbm, No. 127
Crystal system: tetragonal
Spin magnetization, μB/f.u.: 0.0

***

[2]
Below is a relaxed PmEr3Cd4 crystal, with properties calculated at the GGA-PBE level.

a b c (Å): 5.2594 7.5904 10.5194
angles (deg): 90.00 90.00 90.00
With the nearest neighbours (Å) after each atom.
Positions (direct):
Cd: 0.9994 0.7583 0.2500  6 Er 3.21-3.28, 2 Pm 3.28
Cd: 0.0006 0.2417 0.7500  6 Er 3.21-3.28, 2 Pm 3.28
Cd: 0.5000 0.2417 0.0000  6 Er 3.21-3.28, 2 Pm 3.28
Cd: 0.9994 0.2417 0.2500  6 Er 3.21-3.28, 2 Pm 3.28
Cd: 0.5000 0.7583 0.5000  6 Er 3.21-3.28, 2 Pm 3.28
Cd: 0.5000 0.7583 0.0000  6 Er 3.21-3.28, 2 Pm 3.28
Cd: 0.5000 0.2417 0.5000  6 Er 3.21-3.28, 2 Pm 3.28
Cd: 0.0006 0.7583 0.7500  6 Er 3.21-3.28, 2 Pm 3.28
Er: 0.5004 0.5000 0.7500  8 Cd 3.28
Er: 0.5004 0.0000 0.7500  8 Cd 3.21
Er: 0.4996 0.0000 0.2500  8 Cd 3.21
Er: 0.0000 0.0000 0.5000  8 Cd 3.21
Er: 0.4996 0.5000 0.2500  8 Cd 3.28
Er: 0.0000 0.0000 0.0000  8 Cd 3.21
Pm: 0.0000 0.5000 0.5000  8 Cd 3.28
Pm: 0.0000 0.5000 0.0000  8 Cd 3.28

Output
E above lowest polymorph, meV/atom: 0
Energy of formation from the pure elements, eV/atom: -0.313
SG: P4/mmm, No. 123
Crystal system: tetragonal
Spin magnetization, μB/f.u.: 0.2

***

[3]
Below is a relaxed La2TaBr crystal, with properties calculated at the GGA-PBE level.

a b c (Å): 3.4026 3.4026 10.8135
angles (deg): 90.00 90.00 119.32
With the nearest neighbours (Å) after each atom.
Positions (direct):
Br: 0.5000 0.5000 0.7226  2 Ta 2.78
La: 0.5000 0.5000 0.2877  2 Ta 3.05, 4 La 3.40
La: 0.0000 0.0000 0.9691  2 Br 3.17, 6 La 3.40-3.44
Ta: 0.0000 0.0000 0.5206  2 Br 2.78, 2 La 3.05

Output
Raw formation energy, eV per formula unit: 0.804
E above lowest polymorph, meV/atom: 474
SG: Cmm2, No. 35
Crystal system: orthorhombic
Spin magnetization, μB/f.u.: 0.0

***

> Among the records above, which one has the highest E above lowest polymorph?

La2TaBr

***

> What is the formula in the second record?

PmEr3Cd4

***

> Which of these has the highest spin magnetization?

PmEr3Cd4